This record from Alexandria describes an optimized crystal structure of TiCdSnPd. The functional is GGA-PBE.

Properties
- formation energy from the elements (kJ/mol of formula units) = -80

POSCAR file:
```
TiCdSnPd
1.0
0.000 3.335 3.335
3.335 0.000 3.335
3.335 3.335 0.000
Ti Cd Sn Pd
1 1 1 1
direct
0.000 0.000 0.000
0.750 0.750 0.750
0.250 0.250 0.250
0.500 0.500 0.500
```

This record from Alexandria describes an optimized crystal structure of LiY2Mg. The functional is GGA-PBE.

Properties
- formation energy from the elements (kJ/mol of formula units) = 46

POSCAR file:
```
LiY2Mg
1.0
-2.313 2.313 5.090
2.313 -2.313 5.090
2.313 2.313 -5.090
Li Y Mg
1 2 1
direct
0.000 0.000 0.000
0.500 0.500 0.000
0.750 0.250 0.500
0.250 0.750 0.500
```

This record from Alexandria describes an optimized crystal structure of LiEu3. The functional is GGA-PBE.

Properties
- formation energy from the elements (kJ/mol of formula units) = 15
- ΔE to the lowest computed polymorph (eV/atom) = 0.000

POSCAR file:
```
LiEu3
1.0
-2.035 6.079 3.035
2.035 -6.079 3.035
2.035 6.079 -3.035
Li Eu
1 3
direct
0.000 0.000 0.000
0.219 0.496 0.723
0.498 0.998 0.500
0.773 0.496 0.277
```

This record from Alexandria describes an optimized crystal structure of BeHg2. The functional is GGA-PBE.

Properties
- formation energy from the elements (kJ/mol of formula units) = 88
- ΔE to the lowest computed polymorph (eV/atom) = 0.000

POSCAR file:
```
BeHg2
1.0
4.424 0.000 0.000
0.000 4.424 0.000
0.000 0.000 2.971
Be Hg
1 2
direct
0.000 0.000 0.000
0.000 0.500 0.500
0.500 0.000 0.500
```

This record from Alexandria describes an optimized crystal structure of Y2Au. The functional is GGA-PBE.

Properties
- formation energy from the elements (kJ/mol of formula units) = -177

POSCAR file:
```
Y2Au
1.0
0.000 6.829 6.829
6.829 0.000 6.829
6.829 6.829 0.000
Y Au
16 8
direct
0.000 0.000 0.000
0.000 0.000 0.500
0.000 0.500 0.000
0.188 0.188 0.562
0.188 0.562 0.188
0.188 0.562 0.562
0.438 0.438 0.812
0.438 0.812 0.438
0.438 0.812 0.812
0.500 0.000 0.000
0.562 0.188 0.188
0.562 0.188 0.562
0.562 0.562 0.188
0.812 0.438 0.438
0.812 0.438 0.812
0.812 0.812 0.438
0.166 0.778 0.778
0.222 0.222 0.222
0.222 0.222 0.834
0.222 0.834 0.222
0.778 0.166 0.778
0.778 0.778 0.166
0.778 0.778 0.778
0.834 0.222 0.222
```

This record from Alexandria describes an optimized crystal structure of La5Pm5Pr. The functional is GGA-PBE.

Properties
- formation energy from the elements (kJ/mol of formula units) = 259
- ΔE to the lowest computed polymorph (eV/atom) = 0.000

POSCAR file:
```
La5Pm5Pr
1.0
6.331 0.000 0.000
-3.166 5.483 0.000
0.000 0.000 11.761
La Pm Pr
5 5 1
direct
0.000 0.000 0.000
0.333 0.667 0.324
0.333 0.667 0.676
0.667 0.333 0.157
0.667 0.333 0.843
0.000 0.000 0.266
0.000 0.000 0.734
0.337 0.169 0.500
0.831 0.169 0.500
0.831 0.663 0.500
0.333 0.667 0.000
```

This record from Alexandria describes an optimized crystal structure of TaFeRu. The functional is GGA-PBE.

Properties
- formation energy from the elements (kJ/mol of formula units) = -14
- ΔE to the lowest computed polymorph (eV/atom) = 0.096

POSCAR file:
```
TaFeRu
1.0
4.301 0.000 0.000
-2.150 3.725 0.000
0.000 0.000 2.775
Ta Fe Ru
1 1 1
direct
0.000 0.000 0.000
0.667 0.333 0.333
0.333 0.667 0.665
```

This record from Alexandria describes an optimized crystal structure of PuTlPbF6. The functional is GGA-PBE.

POSCAR file:
```
PuTlPbF6
1.0
6.650 0.000 0.000
-3.325 5.759 0.000
0.000 0.000 10.329
Pu Tl Pb F
2 2 2 12
direct
0.333 0.667 0.250
0.667 0.333 0.750
0.000 0.000 0.000
0.000 0.000 0.500
0.333 0.667 0.750
0.667 0.333 0.250
0.020 0.379 0.139
0.020 0.642 0.361
0.358 0.379 0.361
0.358 0.980 0.139
0.379 0.020 0.639
0.379 0.358 0.861
0.621 0.642 0.139
0.621 0.980 0.361
0.642 0.020 0.861
0.642 0.621 0.639
0.980 0.358 0.639
0.980 0.621 0.861
```

Number 1: DFT total energy -18.84 eV per cell. Number 2: DFT total energy -15.96 eV per cell. Number 3: DFT total energy -32.58 eV per cell. Number 4: DFT total energy -3.42 eV per cell. Number 5: DFT total energy -144.28 eV per cell. Number 6: DFT total energy -50.49 eV per cell. Number 7: DFT total energy -29.73 eV per cell. Number 8: DFT total energy -112.58 eV per cell.